Run P
Compound: Ba6Hg2H
Source: Alexandria via LeMat-Bulk
Functional: PBE
Structure: relaxed

Computed properties:
The density of states at the Fermi level is 1.0668 states/eV/atom.

a b c (Å): 8.098 8.098 13.214
angles (deg): 110.09 110.09 31.35
Atoms (fractional coordinates):
Ba  0.022  0.022  0.289
Ba  0.184  0.184  0.605
Ba  0.352  0.352  0.950
Ba  0.648  0.648  0.050
Ba  0.816  0.816  0.395
Ba  0.978  0.978  0.711
Hg  0.328  0.328  0.199
Hg  0.672  0.672  0.801
H  0.000  0.000  0.500

Run Q
Compound: Ba6Hg2H
Source: Alexandria via LeMat-Bulk
Functional: PBE
Structure: relaxed

Computed properties:
The density of states at the Fermi level is 1.2259 states/eV/atom.

a b c (Å): 7.869 8.618 13.893
angles (deg): 90.00 123.99 90.00
Atoms (fractional coordinates):
Ba  0.120  0.024  0.245
Ba  0.120  0.476  0.745
Ba  0.232  0.688  0.061
Ba  0.232  0.812  0.561
Ba  0.378  0.179  0.060
Ba  0.378  0.321  0.560
Ba  0.622  0.679  0.440
Ba  0.622  0.821  0.940
Ba  0.768  0.188  0.439
Ba  0.768  0.312  0.939
Ba  0.880  0.524  0.255
Ba  0.880  0.976  0.755
Hg  0.297  0.108  0.750
Hg  0.297  0.392  0.250
Hg  0.703  0.608  0.750
Hg  0.703  0.892  0.250
H  0.000  0.000  0.000
H  0.000  0.500  0.500

Q: What are the energies relative to the best structure? A: run P 66; run Q 0, in meV/atom.

Run P
Compound: Ba2HgH2
Source: Alexandria via LeMat-Bulk
Functional: PBE
Structure: relaxed

Computed properties:
The density of states at the Fermi level is 0.8346 states/eV/atom.

a b c (Å): 8.650 8.650 3.636
angles (deg): 90.00 90.00 90.00
Atoms (fractional coordinates):
Ba  0.145  0.355  0.000
Ba  0.355  0.855  0.000
Ba  0.645  0.145  0.000
Ba  0.855  0.645  0.000
Hg  0.000  0.000  0.000
Hg  0.500  0.500  0.000
H  0.099  0.599  0.500
H  0.401  0.099  0.500
H  0.599  0.901  0.500
H  0.901  0.401  0.500

Run Q
Compound: Ba2HgH2
Source: Alexandria via LeMat-Bulk
Functional: PBE
Structure: relaxed

Computed properties:
The density of states at the Fermi level is 0.6176 states/eV/atom.

a b c (Å): 8.126 8.126 3.707
angles (deg): 90.00 90.00 90.00
Atoms (fractional coordinates):
Ba  0.178  0.322  0.000
Ba  0.322  0.822  0.000
Ba  0.678  0.178  0.000
Ba  0.822  0.678  0.000
Hg  0.000  0.000  0.500
Hg  0.500  0.500  0.500
H  0.122  0.622  0.500
H  0.378  0.122  0.500
H  0.622  0.878  0.500
H  0.878  0.378  0.500

Q: What are the energies relative to the best structure? A: run P 141; run Q 0, in meV/atom.

Run P
Compound: Ba2MgHgH
Source: Alexandria via LeMat-Bulk
Functional: PBE
Structure: relaxed

Computed properties:
The density of states at the Fermi level is 0.5782 states/eV/atom.

a b c (Å): 5.726 5.726 4.539
angles (deg): 90.00 90.00 90.00
Atoms (fractional coordinates):
Ba  0.000  0.500  0.000
Ba  0.500  0.000  0.000
Mg  0.000  0.000  0.500
Hg  0.500  0.500  0.500
H  0.000  0.000  0.000

Run Q
Compound: Ba2MgHgH
Source: Alexandria via LeMat-Bulk
Functional: PBE
Structure: relaxed

Computed properties:
The density of states at the Fermi level is 0.4695 states/eV/atom.

a b c (Å): 5.633 5.633 4.847
angles (deg): 90.00 90.00 90.00
Atoms (fractional coordinates):
Ba  0.000  0.500  0.000
Ba  0.500  0.000  0.000
Mg  0.000  0.000  0.500
Hg  0.500  0.500  0.500
H  0.500  0.500  0.000

Q: What are the energies relative to the best structure? A: run P 0; run Q 94, in meV/atom.

Run P
Compound: Ba2HgHPb
Source: Alexandria via LeMat-Bulk
Functional: PBE
Structure: relaxed

Computed properties:
The density of states at the Fermi level is 0.4778 states/eV/atom.

a b c (Å): 5.518 5.518 4.985
angles (deg): 90.00 90.00 90.00
Atoms (fractional coordinates):
Ba  0.000  0.500  0.000
Ba  0.500  0.000  0.000
Hg  0.000  0.000  0.500
H  0.000  0.000  0.000
Pb  0.500  0.500  0.500

Run Q
Compound: Ba2HgHPb
Source: Alexandria via LeMat-Bulk
Functional: PBE
Structure: relaxed

Computed properties:
The density of states at the Fermi level is 0.3235 states/eV/atom.

a b c (Å): 5.845 5.845 4.601
angles (deg): 90.00 90.00 90.00
Atoms (fractional coordinates):
Ba  0.000  0.500  0.000
Ba  0.500  0.000  0.000
Hg  0.000  0.000  0.500
H  0.500  0.500  0.000
Pb  0.500  0.500  0.500

Q: What are the energies relative to the best structure? A: run P 0; run Q 17, in meV/atom.